The following is a PBE calculation of a relaxed CsPaI4 crystal, from Alexandria.

Cell: 9.920 9.920 7.156 Å, 102.63 102.63 57.33°
Sites, in units of the cell vectors:
Cs 0.188 0.188 0.251
Cs 0.812 0.812 0.749
Pa 0.500 0.500 0.250
Pa 0.500 0.500 0.750
I 0.184 0.590 0.431
I 0.218 0.782 0.000
I 0.339 0.339 0.901
I 0.410 0.816 0.569
I 0.590 0.184 0.431
I 0.661 0.661 0.099
I 0.782 0.218 0.000
I 0.816 0.410 0.569

Calculated values
Final energy, eV for the cell shown: -46.79
Space-group type: C2/m
Raw formation energy, eV/atom: -1.1410
ρ, Mg/m³: 5.0
Crystal system: monoclinic



The following is a PBE calculation of a relaxed Cs2RbPaI8 crystal, from Alexandria.

Cell: 7.417 9.206 11.309 Å, 90.04 90.11 98.66°
Sites, in units of the cell vectors:
Cs 0.001 0.001 0.240
Cs 0.999 0.999 0.760
Rb 0.500 0.500 0.000
Pa 0.500 0.500 0.500
I 0.076 0.266 0.000
I 0.144 0.306 0.501
I 0.371 0.685 0.314
I 0.373 0.687 0.686
I 0.627 0.313 0.314
I 0.629 0.315 0.686
I 0.856 0.694 0.499
I 0.924 0.734 0.000

Calculated values
Final energy, eV for the cell shown: -38.87
Space-group type: P-1
Raw formation energy, eV/atom: -1.1912
ρ, Mg/m³: 3.5
Crystal system: triclinic



The following is a PBE calculation of a relaxed Cs2PaSI5 crystal, from Alexandria.

Cell: 8.496 8.496 8.496 Å, 119.68 119.68 90.55°
Sites, in units of the cell vectors:
Cs 0.000 0.500 0.500
Cs 0.500 0.000 0.500
Pa 0.265 0.265 0.000
S 0.465 0.465 0.000
I 0.000 0.000 0.499
I 0.000 0.501 0.000
I 0.009 0.009 0.000
I 0.501 0.000 0.000
I 0.501 0.501 0.501

Calculated values
Final energy, eV for the cell shown: -34.81
Space-group type: I4mm
Raw formation energy, eV/atom: -1.3036
ρ, Mg/m³: 4.4
Crystal system: tetragonal



The following is a PBE calculation of a relaxed CsPaS3I crystal, from Alexandria.

Cell: 9.331 9.331 7.086 Å, 103.13 103.13 127.56°
Sites, in units of the cell vectors:
Cs 0.225 0.775 0.750
Cs 0.775 0.225 0.250
Pa 0.443 0.557 0.250
Pa 0.557 0.443 0.750
S 0.258 0.367 0.458
S 0.293 0.707 0.250
S 0.367 0.258 0.958
S 0.633 0.742 0.042
S 0.707 0.293 0.750
S 0.742 0.633 0.542
I 0.119 0.881 0.250
I 0.881 0.119 0.750

Calculated values
Final energy, eV for the cell shown: -61.68
Space-group type: C2/c
Raw formation energy, eV/atom: -1.0933
ρ, Mg/m³: 4.6
Crystal system: monoclinic



The following is a PBE calculation of a relaxed Cs2PaSeI5 crystal, from Alexandria.

Cell: 8.532 8.532 8.532 Å, 120.27 120.27 89.53°
Sites, in units of the cell vectors:
Cs 0.000 0.500 0.500
Cs 0.500 0.000 0.500
Pa 0.264 0.264 0.000
Se 0.475 0.475 0.000
I 0.011 0.011 0.000
I 0.501 0.501 0.501
I 0.501 0.999 0.000
I 0.999 0.501 0.000
I 0.999 0.999 0.499

Calculated values
Final energy, eV for the cell shown: -33.91
Space-group type: I4mm
Raw formation energy, eV/atom: -1.2746
ρ, Mg/m³: 4.6
Crystal system: tetragonal



The following is a PBE calculation of a relaxed CsPaTlI6 crystal, from Alexandria.

Cell: 8.687 8.687 16.006 Å, 90.00 90.00 120.00°
Sites, in units of the cell vectors:
Cs 0.000 0.000 0.000
Cs 0.000 0.000 0.500
Pa 0.333 0.667 0.250
Pa 0.667 0.333 0.750
Tl 0.333 0.667 0.750
Tl 0.667 0.333 0.250
I 0.041 0.389 0.139
I 0.041 0.652 0.361
I 0.348 0.389 0.361
I 0.348 0.959 0.139
I 0.389 0.041 0.639
I 0.389 0.348 0.861
I 0.611 0.652 0.139
I 0.611 0.959 0.361
I 0.652 0.041 0.861
I 0.652 0.611 0.639
I 0.959 0.348 0.639
I 0.959 0.611 0.861

Calculated values
Final energy, eV for the cell shown: -63.06
Space-group type: P-31c
Raw formation energy, eV/atom: -1.0569
ρ, Mg/m³: 4.2
Crystal system: trigonal



The following is a PBE calculation of a relaxed CsPaTl2I8 crystal, from Alexandria.

Cell: 7.556 8.327 10.891 Å, 90.13 90.05 93.03°
Sites, in units of the cell vectors:
Cs 0.000 0.000 0.000
Pa 0.000 0.000 0.500
Tl 0.500 0.499 0.775
Tl 0.500 0.501 0.225
I 0.141 0.787 0.308
I 0.143 0.789 0.691
I 0.331 0.201 0.499
I 0.445 0.245 0.000
I 0.555 0.755 0.000
I 0.669 0.799 0.501
I 0.857 0.211 0.309
I 0.859 0.213 0.692

Calculated values
Final energy, eV for the cell shown: -38.57
Space-group type: P-1
Raw formation energy, eV/atom: -0.9239
ρ, Mg/m³: 4.3
Crystal system: triclinic



The following is a PBE calculation of a relaxed Cs2PaTlI8 crystal, from Alexandria.

Cell: 7.157 9.666 10.308 Å, 97.28 100.20 98.89°
Sites, in units of the cell vectors:
Cs 0.201 0.034 0.302
Cs 0.799 0.966 0.698
Pa 0.000 0.500 0.000
Tl 0.000 0.500 0.500
I 0.185 0.345 0.807
I 0.246 0.839 0.596
I 0.270 0.436 0.230
I 0.270 0.762 0.998
I 0.730 0.238 0.002
I 0.730 0.564 0.770
I 0.754 0.161 0.404
I 0.815 0.655 0.193

Calculated values
Final energy, eV for the cell shown: -39.00
Space-group type: P-1
Raw formation energy, eV/atom: -1.0855
ρ, Mg/m³: 4.2
Crystal system: triclinic



The following is a PBE calculation of a relaxed Cs3Pb5I12 crystal, from Alexandria.

Cell: 17.963 17.963 17.963 Å, 109.47 109.47 109.47°
Sites, in units of the cell vectors:
Cs 0.125 0.250 0.375
Cs 0.125 0.375 0.750
Cs 0.250 0.375 0.125
Cs 0.250 0.875 0.625
Cs 0.375 0.125 0.250
Cs 0.375 0.750 0.125
Cs 0.625 0.250 0.875
Cs 0.625 0.875 0.750
Cs 0.750 0.125 0.375
Cs 0.750 0.625 0.875
Cs 0.875 0.625 0.250
Cs 0.875 0.750 0.625
Pb 0.000 0.000 0.000
Pb 0.000 0.000 0.500
Pb 0.000 0.500 0.000
Pb 0.000 0.500 0.500
Pb 0.125 0.750 0.875
Pb 0.125 0.875 0.250
Pb 0.250 0.125 0.875
Pb 0.250 0.625 0.375
Pb 0.375 0.250 0.625
Pb 0.375 0.625 0.750
Pb 0.500 0.000 0.000
Pb 0.500 0.000 0.500
Pb 0.500 0.500 0.000
Pb 0.500 0.500 0.500
Pb 0.625 0.375 0.250
Pb 0.625 0.750 0.375
Pb 0.750 0.375 0.625
Pb 0.750 0.875 0.125
Pb 0.875 0.125 0.750
Pb 0.875 0.250 0.125
I 0.026 0.201 0.116
I 0.026 0.325 0.910
I 0.085 0.701 0.675
I 0.085 0.884 0.410
I 0.090 0.616 0.415
I 0.090 0.974 0.675
I 0.116 0.026 0.201
I 0.116 0.590 0.915
I 0.175 0.201 0.585
I 0.175 0.474 0.590
I 0.201 0.116 0.026
I 0.201 0.585 0.175
I 0.299 0.325 0.915
I 0.299 0.474 0.384
I 0.325 0.910 0.026
I 0.325 0.915 0.299
I 0.384 0.299 0.474
I 0.384 0.585 0.910
I 0.410 0.085 0.884
I 0.410 0.825 0.526
I 0.415 0.090 0.616
I 0.415 0.825 0.799
I 0.474 0.384 0.299
I 0.474 0.590 0.175
I 0.526 0.410 0.825
I 0.526 0.616 0.701
I 0.585 0.175 0.201
I 0.585 0.910 0.384
I 0.590 0.175 0.474
I 0.590 0.915 0.116
I 0.616 0.415 0.090
I 0.616 0.701 0.526
I 0.675 0.085 0.701
I 0.675 0.090 0.974
I 0.701 0.526 0.616
I 0.701 0.675 0.085
I 0.799 0.415 0.825
I 0.799 0.884 0.974
I 0.825 0.526 0.410
I 0.825 0.799 0.415
I 0.884 0.410 0.085
I 0.884 0.974 0.799
I 0.910 0.026 0.325
I 0.910 0.384 0.585
I 0.915 0.116 0.590
I 0.915 0.299 0.325
I 0.974 0.675 0.090
I 0.974 0.799 0.884

Calculated values
Final energy, eV for the cell shown: -224.42
Space-group type: Ia-3d
Raw formation energy, eV/atom: -0.8200
ρ, Mg/m³: 4.4
Crystal system: cubic



The following is a PBE calculation of a relaxed Cs2PbI crystal, from Alexandria.

Cell: 9.562 9.562 9.562 Å, 90.00 90.00 90.00°
Sites, in units of the cell vectors:
Cs 0.250 0.250 0.250
Cs 0.250 0.250 0.750
Cs 0.250 0.750 0.250
Cs 0.250 0.750 0.750
Cs 0.750 0.250 0.250
Cs 0.750 0.250 0.750
Cs 0.750 0.750 0.250
Cs 0.750 0.750 0.750
Pb 0.000 0.000 0.000
Pb 0.000 0.500 0.500
Pb 0.500 0.000 0.500
Pb 0.500 0.500 0.000
I 0.000 0.000 0.500
I 0.000 0.500 0.000
I 0.500 0.000 0.000
I 0.500 0.500 0.500

Calculated values
Final energy, eV for the cell shown: -35.95
Space-group type: Fm-3m
Energy relative to the lowest polymorph listed for this composition, meV/atom: 0.0
Raw formation energy, eV/atom: -0.5052
ρ, Mg/m³: 4.6
Crystal system: cubic



The following is a PBE calculation of a relaxed Cs2PbI5 crystal, from Alexandria.

Cell: 10.344 10.344 15.912 Å, 90.00 90.00 142.65°
Sites, in units of the cell vectors:
Cs 0.159 0.841 0.592
Cs 0.159 0.841 0.908
Cs 0.841 0.159 0.092
Cs 0.841 0.159 0.408
Pb 0.142 0.858 0.250
Pb 0.858 0.142 0.750
I 0.038 0.962 0.099
I 0.038 0.962 0.401
I 0.258 0.742 0.116
I 0.258 0.742 0.384
I 0.331 0.669 0.750
I 0.669 0.331 0.250
I 0.742 0.258 0.616
I 0.742 0.258 0.884
I 0.962 0.038 0.599
I 0.962 0.038 0.901

Calculated values
Final energy, eV for the cell shown: -40.99
Space-group type: Cmcm
Raw formation energy, eV/atom: -0.9159
ρ, Mg/m³: 3.6
Crystal system: orthorhombic



The following is a PBE calculation of a relaxed Cs3PbI6 crystal, from Alexandria.

Cell: 9.062 9.747 15.411 Å, 90.00 123.61 90.00°
Sites, in units of the cell vectors:
Cs 0.000 0.000 0.000
Cs 0.000 0.500 0.500
Cs 0.211 0.075 0.743
Cs 0.211 0.425 0.243
Cs 0.789 0.575 0.757
Cs 0.789 0.925 0.257
Pb 0.500 0.000 0.500
Pb 0.500 0.500 0.000
I 0.173 0.174 0.453
I 0.173 0.326 0.953
I 0.261 0.734 0.425
I 0.261 0.766 0.925
I 0.402 0.057 0.275
I 0.402 0.443 0.775
I 0.598 0.557 0.225
I 0.598 0.943 0.725
I 0.739 0.234 0.075
I 0.739 0.266 0.575
I 0.827 0.674 0.047
I 0.827 0.826 0.547

Calculated values
Final energy, eV for the cell shown: -52.41
Space-group type: P2_1/c
Energy relative to the lowest polymorph listed for this composition, meV/atom: 15.6
Raw formation energy, eV/atom: -1.0636
ρ, Mg/m³: 4.0
Crystal system: monoclinic